TbDyEr2N4 | PBE-GGA | optimized geometry

It has space group P2/m (No. 10), with a = 5.987 Å, b = 3.458 Å, c = 5.987 Å, α = 90.00°, β = 109.45° and γ = 90.00°. The distinct sites, in fractional coordinates, are Tb at (0.000, 0.000, 0.000), Dy at (0.500, 0.500, 0.000), Er at (0.000, 0.500, 0.500), Er at (0.500, 0.000, 0.500), N at (0.250, 0.000, 0.747) and N at (0.252, 0.500, 0.254).

Its density of states at the Fermi level is 0.214 states/eV/f.u. Its calculated volume is 117 Å³/cell. The raw formation energy is -13.85 eV per formula unit.